Entry from Alexandria: a relaxed Rb3MgZn2F9 crystal (PBE).

```
data_Rb3MgZn2F9
_symmetry_space_group_name_H-M 'P 1'
_symmetry_Int_Tables_number 1
_cell_length_a 5.8916
_cell_length_b 5.8916
_cell_length_c 7.2163
_cell_angle_alpha 90.00
_cell_angle_beta 90.00
_cell_angle_gamma 120.00
loop_
_symmetry_equiv_pos_as_xyz
'x,y,z'
loop_
_atom_site_label
_atom_site_type_symbol
_atom_site_fract_x
_atom_site_fract_y
_atom_site_fract_z
Rb1 Rb 0.0000 0.0000 0.0000
Rb2 Rb 0.3333 0.6667 0.6692
Rb3 Rb 0.6667 0.3333 0.3308
Mg1 Mg 0.0000 0.0000 0.5000
Zn1 Zn 0.3333 0.6667 0.1710
Zn2 Zn 0.6667 0.3333 0.8290
F1 F 0.0000 0.5000 0.0000
F2 F 0.1646 0.3291 0.3365
F3 F 0.1646 0.8354 0.3365
F4 F 0.3291 0.1646 0.6635
F5 F 0.5000 0.0000 0.0000
F6 F 0.5000 0.5000 0.0000
F7 F 0.6709 0.8354 0.3365
F8 F 0.8354 0.1646 0.6635
F9 F 0.8354 0.6709 0.6635
```

Calculated values
Calculated volume in Å³ per cell: 216.9
Raw formation energy in eV per atom: -2.778
Crystal system: trigonal